Record 1
{"formula": "SrCdAg4", "functional": "GGA-PBEsol", "state": "optimized geometry", "sg": "No. 216", "ef_ev_per_atom": -0.187, "dos_ef_per_ev_cell": 3.769, "density_g_cm3": 8.559, "lattice": [[5.5748, 0.0000, 0.0000], [2.7874, 4.8279, 0.0000], [2.7874, 1.6093, 4.5518]], "species": ["Ag", "Ag", "Ag", "Ag", "Sr", "Cd"], "frac_coords": [[0.8731, 0.3756, 0.3756], [0.3756, 0.8731, 0.3756], [0.3756, 0.3756, 0.3756], [0.3756, 0.3756, 0.8731], [0.0000, 0.0000, 0.0000], [0.7500, 0.7500, 0.7500]]}

Record 2
{"formula": "TaCdAg2", "functional": "GGA-PBEsol", "state": "optimized geometry", "sg": "No. 166", "ef_ev_per_atom": 0.136, "dos_ef_per_ev_cell": 2.179, "density_g_cm3": 12.073, "lattice": [[2.8896, 0.0000, 0.0000], [1.4448, 2.5025, 0.0000], [1.4448, 0.8342, 9.6828]], "species": ["Ta", "Cd", "Ag", "Ag"], "frac_coords": [[0.0000, 0.0000, 0.0000], [0.5000, 0.5000, 0.5000], [0.2508, 0.2508, 0.2475], [0.7492, 0.7492, 0.7525]]}

Record 3
{"formula": "TaCdAg", "functional": "GGA-PBEsol", "state": "optimized geometry", "sg": "No. 107", "ef_ev_per_atom": 0.193, "dos_ef_per_ev_cell": 1.497, "density_g_cm3": 12.590, "lattice": [[2.8961, 0.0000, 0.0000], [0.0000, 2.8961, 0.0000], [-1.4481, -1.4481, 6.3093]], "species": ["Cd", "Ag", "Ta"], "frac_coords": [[0.3352, 0.3352, 0.6705], [0.0017, 0.0017, 0.0033], [0.6631, 0.6631, 0.3262]]}

V across the listed records, respectively: 20.42 17.50 17.64 A^3/atom.
Raw total energy across the listed records, respectively: -0.1066 -0.1821 -0.2019 Ha/atom.